Record 1
VASP calculation (PBE) on an optimized crystal structure of MgCdAgPt.

Cell: 4.6497 4.6497 4.6497 Å, 60.00 60.00 60.00°
Positions (direct):
Mg (0.5000, 0.5000, 0.5000)
Ag (0.2500, 0.2500, 0.2500)
Pt (0.7500, 0.7500, 0.7500)
Cd (0.0000, 0.0000, 0.0000)

DOS at the Fermi energy (states/eV/cell): 1.6


Record 2
VASP calculation (PBE) on an optimized crystal structure of Rb2MgCd12Ag3.

Cell: 9.0286 9.0286 9.0286 Å, 65.93 65.93 65.93°
Positions (direct):
Rb (0.5910, 0.5910, 0.5910)
Rb (0.4090, 0.4090, 0.4090)
Mg (0.0000, 0.0000, 0.0000)
Cd (0.3384, 0.3384, 0.0077)
Cd (0.8693, 0.8693, 0.3554)
Cd (0.3554, 0.8693, 0.8693)
Cd (0.0077, 0.3384, 0.3384)
Cd (0.8693, 0.3554, 0.8693)
Cd (0.3384, 0.0077, 0.3384)
Cd (0.6616, 0.6616, 0.9923)
Cd (0.1307, 0.1307, 0.6446)
Cd (0.6446, 0.1307, 0.1307)
Cd (0.9923, 0.6616, 0.6616)
Cd (0.1307, 0.6446, 0.1307)
Cd (0.6616, 0.9923, 0.6616)
Ag (0.5000, 0.0000, 0.0000)
Ag (0.0000, 0.5000, 0.0000)
Ag (0.0000, 0.0000, 0.5000)

DOS at the Fermi energy (states/eV/cell): 6.4


Record 3
VASP calculation (PBE) on an optimized crystal structure of RbMg2CdAg.

Cell: 5.3412 5.3412 5.4822 Å, 90.00 90.00 90.00°
Positions (direct):
Mg (0.0000, 0.5000, 0.0000)
Mg (0.5000, 0.0000, 0.0000)
Rb (0.5000, 0.5000, 0.5000)
Ag (0.0000, 0.0000, 0.0000)
Cd (0.0000, 0.0000, 0.5000)

DOS at the Fermi energy (states/eV/cell): 2.5


Record 4
VASP calculation (PBE) on an optimized crystal structure of Mg3Cd3Ag2Rh.

Cell: 3.0612 8.0550 8.0550 Å, 120.00 90.00 90.00°
Positions (direct):
Mg (0.5000, 0.7281, 0.0000)
Mg (0.5000, 0.0000, 0.7281)
Mg (0.5000, 0.2719, 0.2719)
Cd (0.0000, 0.6337, 0.6337)
Cd (0.0000, 0.0000, 0.3663)
Cd (0.0000, 0.3663, 0.0000)
Ag (0.5000, 0.6667, 0.3333)
Ag (0.5000, 0.3333, 0.6667)
Rh (0.0000, 0.0000, 0.0000)

DOS at the Fermi energy (states/eV/cell): 2.6


Record 5
VASP calculation (PBE) on an optimized crystal structure of Mg5Cd2Ag2Rh.

Cell: 3.1270 11.4115 11.4115 Å, 90.00 90.00 90.00°
Positions (direct):
Mg (0.5000, 0.1863, 0.0319)
Mg (0.5000, 0.8137, 0.9681)
Mg (0.5000, 0.0319, 0.8137)
Mg (0.5000, 0.6863, 0.4681)
Mg (0.5000, 0.9681, 0.1863)
Mg (0.5000, 0.3137, 0.5319)
Mg (0.5000, 0.5319, 0.6863)
Mg (0.5000, 0.4681, 0.3137)
Mg (0.5000, 0.5000, 0.0000)
Mg (0.5000, 0.0000, 0.5000)
Cd (0.0000, 0.6760, 0.1760)
Cd (0.0000, 0.3240, 0.8240)
Cd (0.0000, 0.1760, 0.3240)
Cd (0.0000, 0.8240, 0.6760)
Ag (0.0000, 0.1428, 0.6428)
Ag (0.0000, 0.8572, 0.3572)
Ag (0.0000, 0.6428, 0.8572)
Ag (0.0000, 0.3572, 0.1428)
Rh (0.0000, 0.0000, 0.0000)
Rh (0.0000, 0.5000, 0.5000)

DOS at the Fermi energy (states/eV/cell): 5.6


Record 6
VASP calculation (PBE) on an optimized crystal structure of Mg4CdAgRh2.

Cell: 4.5885 4.5885 7.9290 Å, 73.18 73.18 60.00°
Positions (direct):
Mg (0.3779, 0.3779, 0.8663)
Mg (0.8723, 0.8723, 0.3831)
Mg (0.1277, 0.1277, 0.6169)
Mg (0.6221, 0.6221, 0.1337)
Cd (0.0000, 0.0000, 0.0000)
Ag (0.5000, 0.5000, 0.5000)
Rh (0.7478, 0.7478, 0.7567)
Rh (0.2522, 0.2522, 0.2433)

DOS at the Fermi energy (states/eV/cell): 4.2


Record 7
VASP calculation (PBE) on an optimized crystal structure of Mg5Cd2AgRh2.

Cell: 3.9336 9.9008 9.9008 Å, 90.00 90.00 90.00°
Positions (direct):
Mg (0.5000, 0.2037, 0.0791)
Mg (0.5000, 0.7963, 0.9209)
Mg (0.5000, 0.0791, 0.7963)
Mg (0.5000, 0.7037, 0.4209)
Mg (0.5000, 0.9209, 0.2037)
Mg (0.5000, 0.2963, 0.5791)
Mg (0.5000, 0.5791, 0.7037)
Mg (0.5000, 0.4209, 0.2963)
Mg (0.5000, 0.5000, 0.0000)
Mg (0.5000, 0.0000, 0.5000)
Cd (0.0000, 0.6711, 0.1711)
Cd (0.0000, 0.3289, 0.8289)
Cd (0.0000, 0.1711, 0.3289)
Cd (0.0000, 0.8289, 0.6711)
Ag (0.0000, 0.0000, 0.0000)
Ag (0.0000, 0.5000, 0.5000)
Rh (0.0000, 0.1221, 0.6221)
Rh (0.0000, 0.8779, 0.3779)
Rh (0.0000, 0.6221, 0.8779)
Rh (0.0000, 0.3779, 0.1221)

DOS at the Fermi energy (states/eV/cell): 8.8


Record 8
VASP calculation (PBE) on an optimized crystal structure of Mg4CdAg2Rh.

Cell: 4.6529 4.6529 8.1835 Å, 73.48 73.48 60.00°
Positions (direct):
Mg (0.3823, 0.3823, 0.8530)
Mg (0.8688, 0.8688, 0.3937)
Mg (0.1312, 0.1312, 0.6063)
Mg (0.6177, 0.6177, 0.1470)
Cd (0.0000, 0.0000, 0.0000)
Ag (0.7506, 0.7506, 0.7483)
Ag (0.2494, 0.2494, 0.2517)
Rh (0.5000, 0.5000, 0.5000)

DOS at the Fermi energy (states/eV/cell): 2.5


Q: Which calculated formation energy values were calculated for the entries above? A: -0.3950 0.1506 0.0675 -0.2164 -0.1973 -0.3432 -0.2538 -0.2773, in eV per atom.
Q: Which VASP energy values were calculated for the entries above? A: -12.98 -20.35 -7.59 -22.53 -49.66 -27.59 -59.79 -22.57, in eV for the cell shown.